1.
{"formula": "BaNaSr2P", "functional": "PBE-GGA", "state": "relaxed", "spacegroup": "No. 123", "total_energy_ev_per_atom": -2.88, "dos_ef_per_ev_cell": 4.58, "cell": [[6.017, 0.000, 0.000], [0.000, 6.017, 0.000], [0.000, 0.000, 6.395]], "species": ["Ba", "Na", "Sr", "Sr", "P"], "frac_coords": [[0.000, 0.000, 0.000], [0.500, 0.500, 0.000], [0.000, 0.500, 0.500], [0.500, 0.000, 0.500], [0.000, 0.000, 0.500]]}

2.
{"formula": "Ba2NaSrP", "functional": "PBE-GGA", "state": "relaxed", "spacegroup": "No. 123", "total_energy_ev_per_atom": -2.92, "dos_ef_per_ev_cell": 4.74, "cell": [[6.393, 0.000, 0.000], [0.000, 6.393, 0.000], [0.000, 0.000, 6.012]], "species": ["Ba", "Ba", "Na", "Sr", "P"], "frac_coords": [[0.000, 0.500, 0.000], [0.500, 0.000, 0.000], [0.000, 0.000, 0.500], [0.500, 0.500, 0.500], [0.500, 0.500, 0.000]]}

3.
{"formula": "BaNa2TaP", "functional": "PBE-GGA", "state": "relaxed", "spacegroup": "No. 123", "total_energy_ev_per_atom": -2.93, "dos_ef_per_ev_cell": 3.22, "cell": [[5.660, 0.000, 0.000], [0.000, 5.660, 0.000], [0.000, 0.000, 6.409]], "species": ["Ba", "Na", "Na", "Ta", "P"], "frac_coords": [[0.000, 0.000, 0.000], [0.000, 0.500, 0.500], [0.500, 0.000, 0.500], [0.000, 0.000, 0.500], [0.500, 0.500, 0.000]]}